VASP calculation (PBE) on a relaxed structure of MgAl4Rh2.

Geometry as extended XYZ:
```
28
Lattice="-1.071 -3.410 1.940 4.307 -3.717 -4.157 11.986 2.188 10.463" Properties=species:S:1:pos:R:3 pbc="T T T"
Mg 10.932 -4.601 4.341
Mg 4.290 -0.338 3.905
Mg 11.829 -0.578 7.645
Mg 3.393 -4.361 0.602
Al 9.020 -0.199 6.762
Al 6.202 -4.740 1.485
Al 12.034 -3.507 6.872
Al 3.188 -1.432 1.375
Al 10.636 -1.650 5.102
Al 4.586 -3.289 3.144
Al 9.452 -1.222 9.463
Al 5.770 -3.717 -1.217
Al 6.636 -0.168 5.499
Al 8.586 -4.771 2.748
Al 13.527 -2.769 8.994
Al 1.695 -2.170 -0.747
Al 7.071 -1.769 2.925
Al 8.151 -3.170 5.322
Al 0.014 -2.414 2.159
Al 15.208 -2.525 6.087
Rh 9.512 -2.460 3.057
Rh 5.710 -2.479 5.190
Rh 11.734 -1.411 10.392
Rh 3.488 -3.528 -2.146
Rh 12.958 -2.602 4.711
Rh 2.264 -2.337 3.536
Rh 9.761 -2.541 7.315
Rh 5.461 -2.398 0.931
```

VASP calculation (PBE) on a relaxed structure of Mg3AlRh.

The value obtained for the polymorph energy (0 for the lowest one) is 0 meV per atom.

Geometry as extended XYZ:
```
5
Lattice="4.922 0.000 0.000 0.000 4.922 0.000 0.000 0.000 4.922" Properties=species:S:1:pos:R:3 pbc="T T T"
Mg 0.000 2.461 0.000
Mg 0.000 0.000 2.461
Mg 2.461 0.000 0.000
Rh 0.000 0.000 0.000
Al 2.461 2.461 2.461
```

| no. | E_form (eV per atom) |
| --- | --- |
| 1 | -0.584 |
| 2 | 0.122 |